# 1
A relaxed structure of Sm5MgHg6. Source: the Alexandria database, functional PBE-GGA. Values from VASP.

Properties
Space-group type   Immm (71)
Energy of formation   -0.46 eV/atom
Total magnetization   0.008 μB per cell
Final energy   -32.473 eV for the cell shown

Cell and atoms, written as Quantum ESPRESSO input:
```
&SYSTEM
  ibrav = 0, nat = 12, ntyp = 3
/
ATOMIC_SPECIES
Sm 150.36 Sm.upf
Mg 24.30 Mg.upf
Hg 200.59 Hg.upf
ATOMIC_POSITIONS crystal
Sm 0.0000 0.0000 0.0000
Sm 0.1703 0.6703 0.5000
Sm 0.3380 0.3380 0.0000
Sm 0.6620 0.6620 0.0000
Sm 0.8297 0.3297 0.5000
Mg 0.5000 0.0000 0.5000
Hg 0.0961 0.8396 0.2565
Hg 0.2579 0.5000 0.7579
Hg 0.4169 0.1604 0.2565
Hg 0.5831 0.8396 0.7435
Hg 0.7421 0.5000 0.2421
Hg 0.9039 0.1604 0.7435
CELL_PARAMETERS angstrom
-2.6150 3.7798 7.9916
2.6150 -3.7798 7.9916
2.6150 3.7798 -7.9916
```

***

# 2
A relaxed structure of AgAs2Pb2. Source: the Alexandria database, functional PBE-GGA. Values from VASP.

Properties
Space-group type   P4/mbm (127)
Energy of formation   0.26 eV/atom
Total magnetization   0.000 μB per cell
Final energy   -36.515 eV for the cell shown

Cell and atoms, written as Quantum ESPRESSO input:
```
&SYSTEM
  ibrav = 0, nat = 10, ntyp = 3
/
ATOMIC_SPECIES
Ag 107.87 Ag.upf
As 74.92 As.upf
Pb 207.20 Pb.upf
ATOMIC_POSITIONS crystal
Ag 0.0000 0.0000 0.0000
Ag 0.5000 0.5000 0.0000
As 0.1118 0.3882 0.5000
As 0.3882 0.8882 0.5000
As 0.6118 0.1118 0.5000
As 0.8882 0.6118 0.5000
Pb 0.1772 0.6772 0.0000
Pb 0.3228 0.1772 0.0000
Pb 0.6772 0.8228 0.0000
Pb 0.8228 0.3228 0.0000
CELL_PARAMETERS angstrom
7.9063 0.0000 0.0000
0.0000 7.9063 0.0000
0.0000 0.0000 4.3704
```

***

# 3
A relaxed structure of InBI2. Source: the Alexandria database, functional PBE-GGA. Values from VASP.

Properties
ΔE_f (raw)   0.681 eV per atom
Space-group type   I-42d (122)
Total magnetization   0.000 μB per cell
Final energy   -19.586 eV for the cell shown

Cell and atoms, written as Quantum ESPRESSO input:
```
&SYSTEM
  ibrav = 0, nat = 8, ntyp = 3
/
ATOMIC_SPECIES
In 114.82 In.upf
B 10.81 B.upf
I 126.90 I.upf
ATOMIC_POSITIONS crystal
In 0.0000 0.0000 0.0000
In 0.7500 0.2500 0.5000
B 0.2500 0.7500 0.5000
B 0.5000 0.5000 0.0000
I 0.2506 0.6250 0.1256
I 0.3750 0.5006 0.6256
I 0.4994 0.1250 0.8744
I 0.8750 0.7494 0.3744
CELL_PARAMETERS angstrom
-3.5151 3.5151 6.4914
3.5151 -3.5151 6.4914
3.5151 3.5151 -6.4914
```

***

# 4
A relaxed structure of SnPd12Pt6. Source: the Alexandria database, functional PBE-GGA. Values from VASP.

Properties
Space-group type   R-3m (166)
Energy of formation   0.03 eV/atom
Total magnetization   0.005 μB per cell
Final energy   -102.052 eV for the cell shown

Cell and atoms, written as Quantum ESPRESSO input:
```
&SYSTEM
  ibrav = 0, nat = 19, ntyp = 3
/
ATOMIC_SPECIES
Sn 118.71 Sn.upf
Pd 106.42 Pd.upf
Pt 195.08 Pt.upf
ATOMIC_POSITIONS crystal
Sn 0.0000 0.0000 0.0000
Pd 0.0000 0.2618 0.7382
Pd 0.0000 0.7382 0.2618
Pd 0.1880 0.5864 0.5864
Pd 0.2618 0.0000 0.7382
Pd 0.2618 0.7382 0.0000
Pd 0.4136 0.4136 0.8120
Pd 0.4136 0.8120 0.4136
Pd 0.5864 0.1880 0.5864
Pd 0.5864 0.5864 0.1880
Pd 0.7382 0.0000 0.2618
Pd 0.7382 0.2618 0.0000
Pd 0.8120 0.4136 0.4136
Pt 0.1695 0.1695 0.4229
Pt 0.1695 0.4229 0.1695
Pt 0.4229 0.1695 0.1695
Pt 0.5771 0.8305 0.8305
Pt 0.8305 0.5771 0.8305
Pt 0.8305 0.8305 0.5771
CELL_PARAMETERS angstrom
5.4131 3.1253 3.0470
-5.4131 3.1253 3.0470
0.0000 -6.2505 3.0470
```

***

# 5
A relaxed structure of LiNdHg3. Source: the Alexandria database, functional PBE-GGA. Values from VASP.

Properties
Space-group type   Pm-3m (221)
Energy of formation   -0.25 eV/atom
Total magnetization   0.000 μB per cell
Final energy   -8.856 eV for the cell shown

Cell and atoms, written as Quantum ESPRESSO input:
```
&SYSTEM
  ibrav = 0, nat = 5, ntyp = 3
/
ATOMIC_SPECIES
Li 6.94 Li.upf
Nd 144.24 Nd.upf
Hg 200.59 Hg.upf
ATOMIC_POSITIONS crystal
Li 0.0000 0.0000 0.0000
Nd 0.5000 0.5000 0.5000
Hg 0.0000 0.0000 0.5000
Hg 0.0000 0.5000 0.0000
Hg 0.5000 0.0000 0.0000
CELL_PARAMETERS angstrom
4.9048 0.0000 0.0000
0.0000 4.9048 0.0000
0.0000 0.0000 4.9048
```

***

# 6
A relaxed structure of MoCl2. Source: the Alexandria database, functional PBE-GGA. Values from VASP.

Properties
ΔE_f (raw)   -0.457 eV per atom
Space-group type   P-3m1 (164)
Total magnetization   0.000 μB per cell
Final energy   -15.894 eV for the cell shown

Cell and atoms, written as Quantum ESPRESSO input:
```
&SYSTEM
  ibrav = 0, nat = 3, ntyp = 2
/
ATOMIC_SPECIES
Mo 95.94 Mo.upf
Cl 35.45 Cl.upf
ATOMIC_POSITIONS crystal
Mo 0.0000 0.0000 0.0000
Cl 0.3333 0.6667 0.2330
Cl 0.6667 0.3333 0.7670
CELL_PARAMETERS angstrom
3.1786 0.0000 0.0000
-1.5893 2.7527 0.0000
0.0000 0.0000 7.2698
```

***

# 7
A relaxed structure of Zn2Si2Ge. Source: the Alexandria database, functional PBE-GGA. Values from VASP.

Properties
ΔE_f (raw)   0.369 eV per atom
Space-group type   P4/mbm (127)
Total magnetization   0.000 μB per cell
Final energy   -32.333 eV for the cell shown

Cell and atoms, written as Quantum ESPRESSO input:
```
&SYSTEM
  ibrav = 0, nat = 10, ntyp = 3
/
ATOMIC_SPECIES
Zn 65.41 Zn.upf
Si 28.09 Si.upf
Ge 72.64 Ge.upf
ATOMIC_POSITIONS crystal
Zn 0.1562 0.3438 0.0000
Zn 0.3438 0.8438 0.0000
Zn 0.6562 0.1562 0.0000
Zn 0.8438 0.6562 0.0000
Si 0.1409 0.6409 0.5000
Si 0.3591 0.1409 0.5000
Si 0.6409 0.8591 0.5000
Si 0.8591 0.3591 0.5000
Ge 0.0000 0.0000 0.0000
Ge 0.5000 0.5000 0.0000
CELL_PARAMETERS angstrom
7.8180 0.0000 0.0000
0.0000 7.8180 0.0000
0.0000 0.0000 2.7149
```

***

# 8
A relaxed structure of EuZnPb. Source: the Alexandria database, functional PBE-GGA. Values from VASP.

Properties
Space-group type   C2/m (12)
Energy of formation   -0.38 eV/atom
Total magnetization   14.336 μB per cell
Final energy   -32.772 eV for the cell shown

Cell and atoms, written as Quantum ESPRESSO input:
```
&SYSTEM
  ibrav = 0, nat = 6, ntyp = 3
/
ATOMIC_SPECIES
Eu 151.96 Eu.upf
Zn 65.41 Zn.upf
Pb 207.20 Pb.upf
ATOMIC_POSITIONS crystal
Eu 0.0539 0.0539 0.3034
Eu 0.9461 0.9461 0.6966
Zn 0.3600 0.3600 0.9066
Zn 0.6400 0.6400 0.0934
Pb 0.3218 0.3218 0.2532
Pb 0.6782 0.6782 0.7468
CELL_PARAMETERS angstrom
5.8630 -2.3510 0.0000
5.8630 2.3510 0.0000
-5.0230 0.0000 5.8798
```

***

# 9
A relaxed structure of ZrHg2Br. Source: the Alexandria database, functional PBE-GGA. Values from VASP.

Properties
ΔE_f (raw)   -0.297 eV per atom
Space-group type   P4mm (99)
Total magnetization   0.000 μB per cell
Final energy   -12.011 eV for the cell shown

Cell and atoms, written as Quantum ESPRESSO input:
```
&SYSTEM
  ibrav = 0, nat = 4, ntyp = 3
/
ATOMIC_SPECIES
Zr 91.22 Zr.upf
Hg 200.59 Hg.upf
Br 79.90 Br.upf
ATOMIC_POSITIONS crystal
Zr 0.0000 0.0000 0.0000
Hg 0.0000 0.0000 0.5316
Hg 0.5000 0.5000 0.7958
Br 0.5000 0.5000 0.1751
CELL_PARAMETERS angstrom
3.2925 0.0000 0.0000
0.0000 3.2925 0.0000
0.0000 0.0000 9.7201
```

***

# 10
A relaxed structure of NdDyNi2. Source: the Alexandria database, functional PBE-GGA. Values from VASP.

Properties
Space-group type   Amm2 (38)
Energy of formation   -0.38 eV/atom
Total magnetization   0.000 μB per cell
Final energy   -22.464 eV for the cell shown

Cell and atoms, written as Quantum ESPRESSO input:
```
&SYSTEM
  ibrav = 0, nat = 4, ntyp = 3
/
ATOMIC_SPECIES
Nd 144.24 Nd.upf
Dy 162.50 Dy.upf
Ni 58.69 Ni.upf
ATOMIC_POSITIONS crystal
Nd 0.0000 0.0000 0.0000
Dy 0.5000 0.7230 0.7230
Ni 0.0000 0.2851 0.2851
Ni 0.5000 0.4278 0.4278
CELL_PARAMETERS angstrom
4.2684 0.0000 0.0000
0.0000 1.8974 5.1750
0.0000 -1.8974 5.1750
```

***

# 11
A relaxed structure of YSiN2. Source: the Alexandria database, functional PBE-GGA. Values from VASP.

Properties
ΔE_f (raw)   -0.791 eV per atom
Space-group type   R-3m (166)
Total magnetization   0.000 μB per cell
Final energy   -31.701 eV for the cell shown

Cell and atoms, written as Quantum ESPRESSO input:
```
&SYSTEM
  ibrav = 0, nat = 4, ntyp = 3
/
ATOMIC_SPECIES
Y 88.91 Y.upf
Si 28.09 Si.upf
N 14.01 N.upf
ATOMIC_POSITIONS crystal
Y 0.0000 0.0000 0.0000
Si 0.5000 0.5000 0.5000
N 0.4024 0.4024 0.4024
N 0.5976 0.5976 0.5976
CELL_PARAMETERS angstrom
1.8105 1.0453 5.6478
-1.8105 1.0453 5.6478
0.0000 -2.0906 5.6478
```

***

# 12
A relaxed structure of Tl2TeSe4. Source: the Alexandria database, functional PBE-GGA. Values from VASP.

Properties
ΔE_f (raw)   -0.124 eV per atom
Space-group type   Pbam (55)
Total magnetization   0.000 μB per cell
Final energy   -45.366 eV for the cell shown

Cell and atoms, written as Quantum ESPRESSO input:
```
&SYSTEM
  ibrav = 0, nat = 14, ntyp = 3
/
ATOMIC_SPECIES
Tl 204.38 Tl.upf
Te 127.60 Te.upf
Se 78.96 Se.upf
ATOMIC_POSITIONS crystal
Tl 0.2485 0.2492 0.0000
Tl 0.2515 0.7492 0.0000
Tl 0.7485 0.2508 0.0000
Tl 0.7515 0.7508 0.0000
Te 0.0000 0.5000 0.5000
Te 0.5000 0.0000 0.5000
Se 0.0012 0.7373 0.5000
Se 0.2299 0.4994 0.0000
Se 0.2701 0.9994 0.0000
Se 0.4988 0.2373 0.5000
Se 0.5012 0.7627 0.5000
Se 0.7299 0.0006 0.0000
Se 0.7701 0.5006 0.0000
Se 0.9988 0.2627 0.5000
CELL_PARAMETERS angstrom
8.6448 0.0000 0.0000
0.0000 12.1119 0.0000
0.0000 0.0000 4.1368
```